Computed, not measured: RbMoIO2 after structural relaxation at the GGA+U level of DFT.

## Properties
Total magnetic moment (μB/atom): 0.400
Distance to the lowest polymorph of the same formula (meV/atom): 0
Electronic total energy (eV/atom): -4.735
Density of states at the Fermi level (states/eV per atom): 0.196

The structure in CIF format:
```
data_RbMoIO2
_cell_length_a 4.297
_cell_length_b 4.297
_cell_length_c 5.781
_cell_angle_alpha 90.00
_cell_angle_beta 90.00
_cell_angle_gamma 90.00
_symmetry_space_group_name_H-M 'P 4/m m m'
_symmetry_Int_Tables_number 123
_symmetry_space_group_name_Hall '-P 4 2'
loop_
_atom_site_label
_atom_site_type_symbol
_atom_site_fract_x
_atom_site_fract_y
_atom_site_fract_z
Rb1 Rb 0.000 0.000 0.000
Mo1 Mo 0.500 0.500 0.500
I1 I 0.500 0.500 0.000
O1 O 0.000 0.500 0.500
```